KS2I2 | PBEsol | optimized geometry

Structure (POSCAR):
```
KS2I2
1.0
-2.830 2.830 5.827
2.830 -2.830 5.827
2.830 2.830 -5.827
K S I
1 2 2
Direct
0.000 0.000 0.000 K
0.250 0.750 0.500 S
0.750 0.250 0.500 S
0.277 0.277 0.000 I
0.723 0.723 0.000 I
```

## Properties
- formation energy (no corrections) (eV/atom) = -0.108
- symmetry = I4/mmm
- DOS at the Fermi energy (states/eV per atom) = 0.4505

=====

SrCa2I6 | PBEsol | optimized geometry

Structure (POSCAR):
```
SrCa2I6
1.0
7.095 0.000 0.000
0.000 26.653 0.000
0.000 0.000 7.913
Sr Ca I
4 8 24
Direct
0.000 0.120 0.250 Sr
0.000 0.880 0.750 Sr
0.500 0.380 0.750 Sr
0.500 0.620 0.250 Sr
0.000 0.213 0.750 Ca
0.000 0.453 0.250 Ca
0.000 0.547 0.750 Ca
0.000 0.787 0.250 Ca
0.500 0.047 0.750 Ca
0.500 0.287 0.250 Ca
0.500 0.713 0.750 Ca
0.500 0.953 0.250 Ca
0.244 0.466 0.570 I
0.244 0.534 0.070 I
0.248 0.294 0.570 I
0.248 0.369 0.089 I
0.248 0.631 0.589 I
0.248 0.706 0.070 I
0.252 0.131 0.589 I
0.252 0.206 0.070 I
0.252 0.794 0.570 I
0.252 0.869 0.089 I
0.256 0.034 0.070 I
0.256 0.966 0.570 I
0.744 0.034 0.430 I
0.744 0.966 0.930 I
0.748 0.131 0.911 I
0.748 0.206 0.430 I
0.748 0.794 0.930 I
0.748 0.869 0.411 I
0.752 0.294 0.930 I
0.752 0.369 0.411 I
0.752 0.631 0.911 I
0.752 0.706 0.430 I
0.756 0.466 0.930 I
0.756 0.534 0.430 I
```

## Properties
- formation energy (no corrections) (eV/atom) = -1.598
- symmetry = Pbcn
- DOS at the Fermi energy (states/eV per atom) = 0.0000

=====

Ta2H | PBEsol | optimized geometry

Structure (POSCAR):
```
Ta2H
1.0
3.349 0.000 0.000
0.000 3.349 0.000
0.000 0.000 3.376
Ta H
2 1
Direct
0.000 0.500 0.240 Ta
0.500 0.000 0.760 Ta
0.500 0.500 0.500 H
```

## Properties
- excess energy over the best structure of this formula in the dataset (meV/atom) = 36
- symmetry = P-4m2
- DOS at the Fermi energy (states/eV per atom) = 0.4895

=====

LiScRe2 | PBEsol | optimized geometry

Structure (POSCAR):
```
LiScRe2
1.0
2.635 -4.611 0.000
2.635 4.611 0.000
-0.925 0.000 2.497
Li Sc Re
1 1 2
Direct
0.000 0.000 0.000 Li
0.500 0.500 0.000 Sc
0.000 0.500 0.500 Re
0.500 0.000 0.500 Re
```

## Properties
- excess energy over the best structure of this formula in the dataset (meV/atom) = 34
- formation enthalpy at 0 K (meV/atom) = 181
- symmetry = C2/m
- DOS at the Fermi energy (states/eV per atom) = 0.7302

=====

Per-record magnetic moment, μB per cell: 0.000 0.000 0.000 0.000